[1]
PdPt2Au5 | PBE-GGA | optimized geometry

Unit cell a=8.088 b=8.088 c=14.375 alpha=90.00 beta=90.00 gamma=160.40
Fractional coordinates of all 16 atoms:
Pd1 0.131 0.869 0.750
Pd2 0.869 0.131 0.250
Pt1 0.126 0.874 0.081
Pt2 0.126 0.874 0.419
Pt3 0.874 0.126 0.581
Pt4 0.874 0.126 0.919
Au1 0.040 0.960 0.591
Au2 0.040 0.960 0.909
Au3 0.201 0.799 0.250
Au4 0.218 0.782 0.586
Au5 0.218 0.782 0.914
Au6 0.782 0.218 0.086
Au7 0.782 0.218 0.414
Au8 0.799 0.201 0.750
Au9 0.960 0.040 0.091
Au10 0.960 0.040 0.409

Volume in A^3/atom: 19.72
Energy of formation in kcal/mol of atoms: 6.6
Excess energy over the best structure of this formula in the dataset in meV per atom: 158
Mass density in Mg/m³: 15.6

[2]
Ac6Ge3PbS2 | PBE-GGA | optimized geometry

Unit cell a=10.118 b=10.118 c=9.236 alpha=101.39 beta=101.39 gamma=25.88
Fractional coordinates of all 12 atoms:
Ac1 0.004 0.004 0.270
Ac2 0.326 0.326 0.906
Ac3 0.333 0.333 0.413
Ac4 0.667 0.667 0.587
Ac5 0.674 0.674 0.094
Ac6 0.996 0.996 0.730
Ge1 0.164 0.164 0.835
Ge2 0.500 0.500 0.500
Ge3 0.836 0.836 0.165
Pb1 0.500 0.500 0.000
S1 0.170 0.170 0.342
S2 0.830 0.830 0.658

VASP energy in eV/atom: -5.2740
Volume in A^3/atom: 33.68
Mass density in Mg/m³: 7.6

[3]
CrPbBr4 | PBE-GGA | optimized geometry

Unit cell a=13.642 b=4.153 c=7.360 alpha=90.00 beta=102.71 gamma=90.00
Fractional coordinates of all 12 atoms:
Cr1 0.000 0.000 0.000
Cr2 0.500 0.500 0.000
Pb1 0.000 0.500 0.500
Pb2 0.500 0.000 0.500
Br1 0.111 0.500 0.905
Br2 0.119 0.000 0.333
Br3 0.381 0.500 0.667
Br4 0.389 0.000 0.095
Br5 0.611 0.000 0.905
Br6 0.619 0.500 0.333
Br7 0.881 0.000 0.667
Br8 0.889 0.500 0.095

Volume in A^3/atom: 33.90
Excess energy over the best structure of this formula in the dataset in meV per atom: 0
Mass density in Mg/m³: 4.7

[4]
Na3Zn2IrO6 | PBE-GGA | optimized geometry

Unit cell a=5.441 b=5.441 c=5.631 alpha=99.42 beta=99.42 gamma=119.90
Fractional coordinates of all 12 atoms:
Na1 0.000 0.000 0.000
Na2 0.329 0.671 0.000
Na3 0.671 0.329 0.000
Zn1 0.167 0.833 0.500
Zn2 0.833 0.167 0.500
Ir1 0.500 0.500 0.500
O1 0.120 0.433 0.295
O2 0.257 0.257 0.702
O3 0.433 0.120 0.295
O4 0.567 0.880 0.705
O5 0.743 0.743 0.298
O6 0.880 0.567 0.705

VASP energy in eV/atom: -5.0631
Volume in A^3/atom: 11.38
Mass density in Mg/m³: 5.9

[5]
Cs2PAuI | PBE-GGA | optimized geometry

Unit cell a=7.086 b=7.086 c=4.512 alpha=90.00 beta=90.00 gamma=90.00
Fractional coordinates of all 5 atoms:
Cs1 0.000 0.500 0.000
Cs2 0.500 0.000 0.000
P1 0.000 0.000 0.000
Au1 0.000 0.000 0.500
I1 0.500 0.500 0.500

Volume in A^3/atom: 45.31
Excess energy over the best structure of this formula in the dataset in meV per atom: 0
Mass density in Mg/m³: 4.5

[6]
Co3SI | PBE-GGA | optimized geometry

Unit cell a=4.741 b=4.741 c=4.741 alpha=90.00 beta=90.00 gamma=90.00
Fractional coordinates of all 5 atoms:
Co1 0.000 0.000 0.500
Co2 0.000 0.500 0.000
Co3 0.500 0.000 0.000
S1 0.500 0.500 0.500
I1 0.000 0.000 0.000

Volume in A^3/atom: 21.32
Excess energy over the best structure of this formula in the dataset in meV per atom: 980
Mass density in Mg/m³: 5.2